*P*
Here is an optimized crystal structure of SmThIr2 from the Alexandria database. Energies are from PBE.

abc: 3.557 3.557 7.104
angles: 90.00 90.00 90.00
Element x y z (fractional)
Ir 0.000 0.000 0.763
Ir 0.000 0.000 0.237
Sm 0.500 0.500 0.500
Th 0.500 0.500 0.000

Summary:
- Magnetization: 0.0 μB/f.u.
- Density of states at the Fermi level: 0.89 states/eV/cell

=====

*Q*
Here is an optimized crystal structure of SmThIr2 from the Alexandria database. Energies are from PBE.

abc: 5.013 5.013 5.013
angles: 60.00 60.00 60.00
Element x y z (fractional)
Ir 0.250 0.250 0.250
Ir 0.750 0.750 0.750
Sm 0.500 0.500 0.500
Th 0.000 0.000 0.000

Summary:
- Magnetization: 0.0 μB/f.u.
- Density of states at the Fermi level: 2.57 states/eV/cell

=====

*R*
Here is an optimized crystal structure of SmThIr2 from the Alexandria database. Energies are from PBE.

abc: 5.814 5.810 11.589
angles: 90.07 90.00 90.00
Element x y z (fractional)
Sm 0.259 0.002 0.373
Sm 0.741 0.998 0.627
Sm 0.259 0.498 0.127
Sm 0.741 0.502 0.873
Th 0.255 0.499 0.627
Th 0.745 0.501 0.373
Th 0.255 0.001 0.873
Th 0.745 0.999 0.127
Ir 0.754 0.002 0.881
Ir 0.246 0.998 0.119
Ir 0.754 0.498 0.619
Ir 0.246 0.502 0.381
Ir 0.757 0.499 0.128
Ir 0.243 0.501 0.872
Ir 0.757 0.001 0.372
Ir 0.243 0.999 0.628

Summary:
- Magnetization: 0.0 μB/f.u.
- Density of states at the Fermi level: 8.28 states/eV/cell

=====

*S*
Here is an optimized crystal structure of SmThIr2 from the Alexandria database. Energies are from PBE.

abc: 3.920 4.288 5.816
angles: 90.00 109.75 90.00
Element x y z (fractional)
Sm 0.722 0.000 0.984
Th 0.443 0.500 0.426
Ir 0.173 0.500 0.885
Ir 0.992 0.000 0.523

Summary:
- Magnetization: 0.0 μB/f.u.
- Density of states at the Fermi level: 1.94 states/eV/cell

=====

The calculated energies rank the structures as follows, beginning with the most stable: *S*, *P*, *Q*, *R*.

=====

*P*
Here is an optimized crystal structure of SmTh2Ir from the Alexandria database. Energies are from PBE.

abc: 6.326 7.266 10.041
angles: 90.00 90.00 90.00
Element x y z (fractional)
Sm 0.648 0.538 0.250
Sm 0.852 0.038 0.250
Sm 0.352 0.462 0.750
Sm 0.148 0.962 0.750
Th 0.158 0.679 0.060
Th 0.342 0.179 0.440
Th 0.842 0.321 0.560
Th 0.658 0.821 0.940
Th 0.842 0.321 0.940
Th 0.658 0.821 0.560
Th 0.158 0.679 0.440
Th 0.342 0.179 0.060
Ir 0.113 0.388 0.250
Ir 0.387 0.888 0.250
Ir 0.887 0.612 0.750
Ir 0.613 0.112 0.750

Summary:
- Magnetization: 0.0 μB/f.u.
- Density of states at the Fermi level: 17.40 states/eV/cell

=====

*Q*
Here is an optimized crystal structure of SmTh2Ir from the Alexandria database. Energies are from PBE.

abc: 3.903 3.903 10.557
angles: 79.35 79.35 60.00
Each line ends with the local moment (μB).
Element x y z (fractional)
Ir 0.500 0.500 0.500  0.00
Sm 0.000 0.000 0.000  0.10
Th 0.112 0.112 0.665  0.02
Th 0.888 0.888 0.335  0.02

Summary:
- Magnetization: 0.2 μB/f.u.
- Density of states at the Fermi level: 5.99 states/eV/cell

=====

The calculated energies rank the structures as follows, beginning with the most stable: *P*, *Q*.

=====

*P*
Here is an optimized crystal structure of SmThIr from the Alexandria database. Energies are from PBE.

abc: 6.339 4.127 4.127
angles: 120.00 90.00 90.00
Element x y z (fractional)
Ir 0.325 0.333 0.667
Sm 0.580 0.667 0.333
Th 0.095 0.000 0.000

Summary:
- Magnetization: 0.0 μB/f.u.
- Density of states at the Fermi level: 3.79 states/eV/cell

=====

*Q*
Here is an optimized crystal structure of SmThIr from the Alexandria database. Energies are from PBE.

abc: 5.999 7.106 8.279
angles: 94.62 90.00 90.00
Element x y z (fractional)
Sm 0.362 0.178 0.875
Sm 0.638 0.822 0.125
Sm 0.862 0.322 0.625
Sm 0.138 0.678 0.375
Th 0.866 0.299 0.126
Th 0.634 0.799 0.626
Th 0.134 0.701 0.874
Th 0.366 0.201 0.374
Ir 0.351 0.466 0.644
Ir 0.649 0.534 0.356
Ir 0.149 0.966 0.144
Ir 0.851 0.034 0.856

Summary:
- Magnetization: 0.0 μB/f.u.
- Density of states at the Fermi level: 12.15 states/eV/cell

=====

The calculated energies rank the structures as follows, beginning with the most stable: *P*, *Q*.

=====

*P*
Here is an optimized crystal structure of Sm4TlIr from the Alexandria database. Energies are from PBE.

abc: 7.080 7.194 7.653
angles: 90.00 92.01 90.00
Element x y z (fractional)
Sm 0.880 0.639 0.184
Sm 0.620 0.139 0.816
Sm 0.328 0.341 0.363
Sm 0.172 0.841 0.637
Sm 0.120 0.361 0.816
Sm 0.380 0.861 0.184
Sm 0.672 0.659 0.637
Sm 0.828 0.159 0.363
Tl 0.000 0.000 0.000
Tl 0.500 0.500 0.000
Ir 0.500 0.000 0.500
Ir 0.000 0.500 0.500

Summary:
- Magnetization: 0.0 μB/f.u.
- Density of states at the Fermi level: 13.41 states/eV/cell

=====

*Q*
Here is an optimized crystal structure of Sm4TlIr from the Alexandria database. Energies are from PBE.

abc: 9.885 9.885 9.885
angles: 60.00 60.00 60.00
Element x y z (fractional)
Sm 0.401 0.401 0.401
Sm 0.796 0.401 0.401
Sm 0.401 0.796 0.401
Sm 0.401 0.401 0.796
Sm 0.559 0.559 0.941
Sm 0.941 0.941 0.559
Sm 0.559 0.941 0.559
Sm 0.941 0.559 0.941
Sm 0.941 0.559 0.559
Sm 0.559 0.941 0.941
Sm 0.192 0.192 0.808
Sm 0.808 0.808 0.192
Sm 0.192 0.808 0.192
Sm 0.808 0.192 0.808
Sm 0.808 0.192 0.192
Sm 0.192 0.808 0.808
Tl 0.165 0.165 0.165
Tl 0.505 0.165 0.165
Tl 0.165 0.505 0.165
Tl 0.165 0.165 0.505
Ir 0.608 0.608 0.608
Ir 0.175 0.608 0.608
Ir 0.608 0.175 0.608
Ir 0.608 0.608 0.175

Summary:
- Magnetization: 0.0 μB/f.u.
- Density of states at the Fermi level: 16.77 states/eV/cell

=====

The calculated energies rank the structures as follows, beginning with the most stable: *Q*, *P*.

=====

*P*
Here is an optimized crystal structure of Sm3TlIr from the Alexandria database. Energies are from PBE.

abc: 4.089 7.262 10.612
angles: 90.00 90.00 106.36
Element x y z (fractional)
Sm 0.866 0.731 0.549
Sm 0.134 0.269 0.451
Sm 0.134 0.269 0.049
Sm 0.866 0.731 0.951
Sm 0.439 0.874 0.250
Sm 0.561 0.126 0.750
Tl 0.754 0.504 0.250
Tl 0.246 0.496 0.750
Ir 0.500 0.000 0.000
Ir 0.500 0.000 0.500

Summary:
- Magnetization: 0.0 μB/f.u.
- Density of states at the Fermi level: 9.29 states/eV/cell

=====

*Q*
Here is an optimized crystal structure of Sm3TlIr from the Alexandria database. Energies are from PBE.

abc: 5.481 5.481 5.481
angles: 90.00 90.00 90.00
Element x y z (fractional)
Tl 0.500 0.500 0.500
Ir 0.000 0.000 0.000
Sm 0.000 0.500 0.000
Sm 0.000 0.000 0.500
Sm 0.500 0.000 0.000

Summary:
- Magnetization: 0.0 μB/f.u.
- Density of states at the Fermi level: 7.06 states/eV/cell

=====

The calculated energies rank the structures as follows, beginning with the most stable: *P*, *Q*.

=====

*P*
Here is an optimized crystal structure of Sm6TlIr2 from the Alexandria database. Energies are from PBE.

abc: 4.933 5.969 9.474
angles: 77.57 90.00 114.41
Element x y z (fractional)
Sm 0.970 0.941 0.849
Sm 0.714 0.427 0.163
Sm 0.286 0.573 0.837
Sm 0.662 0.324 0.613
Sm 0.338 0.676 0.387
Sm 0.030 0.059 0.151
Tl 0.000 0.000 0.500
Ir 0.624 0.247 0.907
Ir 0.376 0.753 0.093

Summary:
- Magnetization: 0.0 μB/f.u.
- Density of states at the Fermi level: 6.58 states/eV/cell

=====

*Q*
Here is an optimized crystal structure of Sm6TlIr2 from the Alexandria database. Energies are from PBE.

abc: 8.708 8.708 8.708
angles: 104.82 110.51 113.20
Element x y z (fractional)
Sm 0.531 0.713 0.818
Sm 0.469 0.287 0.182
Sm 0.105 0.287 0.818
Sm 0.895 0.713 0.182
Sm 0.796 0.763 0.558
Sm 0.204 0.237 0.442
Sm 0.204 0.763 0.967
Sm 0.796 0.237 0.033
Sm 0.690 0.360 0.670
Sm 0.310 0.640 0.330
Sm 0.310 0.980 0.670
Sm 0.690 0.020 0.330
Tl 0.000 0.500 0.500
Tl 0.000 0.000 0.000
Ir 0.500 0.371 0.871
Ir 0.500 0.629 0.129
Ir 0.665 0.000 0.665
Ir 0.335 0.000 0.335

Summary:
- Magnetization: 0.0 μB/f.u.
- Density of states at the Fermi level: 14.73 states/eV/cell

=====

The calculated energies rank the structures as follows, beginning with the most stable: *Q*, *P*.

=====

*P*
Here is an optimized crystal structure of Sm6Tl2Ir from the Alexandria database. Energies are from PBE.

abc: 7.200 7.492 10.672
angles: 90.00 91.53 90.00
Element x y z (fractional)
Sm 0.908 0.993 0.247
Sm 0.808 0.686 0.539
Sm 0.816 0.696 0.961
Sm 0.684 0.196 0.539
Sm 0.692 0.186 0.961
Sm 0.592 0.493 0.253
Sm 0.092 0.007 0.753
Sm 0.192 0.314 0.461
Sm 0.184 0.304 0.039
Sm 0.316 0.804 0.461
Sm 0.308 0.814 0.039
Sm 0.408 0.507 0.747
Tl 0.968 0.426 0.753
Tl 0.532 0.926 0.747
Tl 0.468 0.074 0.253
Tl 0.032 0.574 0.247
Ir 0.500 0.500 0.000
Ir 0.000 0.000 0.500

Summary:
- Magnetization: 0.0 μB/f.u.
- Density of states at the Fermi level: 18.93 states/eV/cell

=====

*Q*
Here is an optimized crystal structure of Sm6Tl2Ir from the Alexandria database. Energies are from PBE.

abc: 3.907 8.849 8.835
angles: 120.05 90.00 90.00
Element x y z (fractional)
Sm 0.500 0.604 0.000
Sm 0.500 0.394 0.395
Sm 0.500 0.000 0.605
Sm 0.000 0.242 0.000
Sm 0.000 0.759 0.760
Sm 0.000 0.999 0.240
Tl 0.000 0.333 0.666
Tl 0.000 0.667 0.334
Ir 0.500 0.002 0.000

Summary:
- Magnetization: 0.0 μB/f.u.
- Density of states at the Fermi level: 11.72 states/eV/cell

=====

The calculated energies rank the structures as follows, beginning with the most stable: *Q*, *P*.

=====

*P*
Here is an optimized crystal structure of SmYTlIr from the Alexandria database. Energies are from PBE.

abc: 5.156 5.156 5.156
angles: 60.00 60.00 60.00
Element x y z (fractional)
Y 0.250 0.250 0.250
Tl 0.000 0.000 0.000
Ir 0.500 0.500 0.500
Sm 0.750 0.750 0.750

Summary:
- Magnetization: 0.0 μB/f.u.
- Density of states at the Fermi level: 2.70 states/eV/cell

=====

*Q*
Here is an optimized crystal structure of SmYTlIr from the Alexandria database. Energies are from PBE.

abc: 3.507 3.507 8.102
angles: 90.00 90.00 90.00
Element x y z (fractional)
Sm 0.500 0.500 0.778
Y 0.500 0.500 0.365
Tl 0.000 0.000 0.078
Ir 0.000 0.000 0.564

Summary:
- Magnetization: 0.0 μB/f.u.
- Density of states at the Fermi level: 3.25 states/eV/cell

=====

The calculated energies rank the structures as follows, beginning with the most stable: *Q*, *P*.

=====

*P*
Here is an optimized crystal structure of SmTm2Ir from the Alexandria database. Energies are from PBE.

abc: 3.738 3.738 10.659
angles: 79.90 79.90 60.00
Element x y z (fractional)
Ir 0.500 0.500 0.500
Tm 0.115 0.115 0.656
Tm 0.885 0.885 0.344
Sm 0.000 0.000 0.000

Summary:
- Magnetization: 0.0 μB/f.u.
- Density of states at the Fermi level: 4.17 states/eV/cell

=====

*Q*
Here is an optimized crystal structure of SmTm2Ir from the Alexandria database. Energies are from PBE.

abc: 3.439 3.439 8.794
angles: 90.00 90.00 90.00
Element x y z (fractional)
Ir 0.500 0.500 0.000
Tm 0.000 0.000 0.816
Tm 0.000 0.000 0.184
Sm 0.500 0.500 0.500

Summary:
- Magnetization: 0.0 μB/f.u.
- Density of states at the Fermi level: 5.12 states/eV/cell

=====

The calculated energies rank the structures as follows, beginning with the most stable: *Q*, *P*.

=====

*P*
Here is an optimized crystal structure of SmTm2Ir from the Alexandria database. Energies are from PBE.

abc: 4.608 4.608 6.712
angles: 69.92 69.92 60.00
Element x y z (fractional)
Sm 0.500 0.500 0.500
Tm 0.052 0.052 0.845
Tm 0.282 0.282 0.154
Ir 0.666 0.666 0.001

Summary:
- Magnetization: 0.0 μB/f.u.
- Density of states at the Fermi level: 2.12 states/eV/cell

=====

*Q*
Here is an optimized crystal structure of SmTm2Ir from the Alexandria database. Energies are from PBE.

abc: 6.391 7.253 9.183
angles: 90.00 90.00 90.00
Element x y z (fractional)
Sm 0.631 0.533 0.250
Sm 0.869 0.033 0.250
Sm 0.369 0.467 0.750
Sm 0.131 0.967 0.750
Tm 0.169 0.675 0.064
Tm 0.331 0.175 0.436
Tm 0.831 0.325 0.564
Tm 0.669 0.825 0.936
Tm 0.831 0.325 0.936
Tm 0.669 0.825 0.564
Tm 0.169 0.675 0.436
Tm 0.331 0.175 0.064
Ir 0.059 0.382 0.250
Ir 0.441 0.882 0.250
Ir 0.941 0.618 0.750
Ir 0.559 0.118 0.750

Summary:
- Magnetization: 0.0 μB/f.u.
- Density of states at the Fermi level: 15.96 states/eV/cell

=====

*R*
Here is an optimized crystal structure of SmTm2Ir from the Alexandria database. Energies are from PBE.

abc: 3.856 6.395 9.023
angles: 90.00 90.00 107.55
Element x y z (fractional)
Sm 0.930 0.860 0.250
Sm 0.070 0.140 0.750
Tm 0.356 0.712 0.566
Tm 0.644 0.288 0.434
Tm 0.356 0.712 0.934
Tm 0.644 0.288 0.066
Ir 0.750 0.501 0.750
Ir 0.250 0.499 0.250

Summary:
- Magnetization: 0.0 μB/f.u.
- Density of states at the Fermi level: 9.73 states/eV/cell

=====

The calculated energies rank the structures as follows, beginning with the most stable: *Q*, *R*, *P*.